# 1
The following is a PBE calculation of crystalline GaRe at its relaxed geometry, from OQMD via LeMat-Bulk.

Summary:
* symmetry: P-6m2 (187)

Cell and atoms, written as POSCAR:
```
GaRe
1.0
2.853 0.000 0.000
-1.426 2.471 0.000
0.000 0.000 4.192
Ga Re
1 1
Direct
0.000 0.000 0.000
0.667 0.333 0.500
```


# 2
The following is a PBE calculation of crystalline LiAgOsO3 at its relaxed geometry, from OQMD via LeMat-Bulk.

Summary:
* symmetry: Pnma (62)

Cell and atoms, written as POSCAR:
```
LiAgOsO3
1.0
9.213 0.000 0.000
0.000 3.082 0.000
0.000 0.000 10.960
Li Ag Os O
4 4 4 12
Direct
0.243 0.250 0.136
0.257 0.750 0.636
0.743 0.250 0.364
0.757 0.750 0.864
0.057 0.750 0.407
0.443 0.250 0.907
0.557 0.750 0.093
0.943 0.250 0.593
0.072 0.750 0.884
0.428 0.250 0.384
0.572 0.750 0.616
0.928 0.250 0.116
0.027 0.750 0.192
0.118 0.250 0.000
0.244 0.750 0.805
0.256 0.250 0.305
0.382 0.750 0.500
0.473 0.250 0.692
0.527 0.750 0.308
0.618 0.250 0.500
0.744 0.750 0.695
0.756 0.250 0.195
0.882 0.750 0.000
0.973 0.250 0.808
```


no.,E_tot (eV/cell),calculated density (g/cm³)
1,-15.2,14.4
2,-143.0,7.5